# 1
Density functional theory data (PBE) for an optimized crystal structure of Rb2UPd3S6.

Results
Formation energy (no corrections) ... -11.318 eV/f.u.
Crystal system ... orthorhombic

```
Rb2UPd3S6
1.0
0.000 7.475 8.462
4.892 0.000 8.462
4.892 7.475 0.000
Rb U Pd S
4 2 6 12
Direct
0.197 0.803 0.197 Rb
0.250 0.250 0.250 Rb
0.750 0.750 0.750 Rb
0.803 0.197 0.803 Rb
0.333 0.333 0.667 U
0.667 0.667 0.333 U
0.003 0.677 0.997 Pd
0.323 0.997 0.677 Pd
0.326 0.674 0.674 Pd
0.674 0.326 0.326 Pd
0.677 0.003 0.323 Pd
0.997 0.323 0.003 Pd
0.097 0.312 0.688 S
0.102 0.693 0.681 S
0.307 0.898 0.476 S
0.312 0.097 0.903 S
0.319 0.476 0.898 S
0.476 0.319 0.307 S
0.524 0.681 0.693 S
0.681 0.524 0.102 S
0.688 0.903 0.097 S
0.693 0.102 0.524 S
0.898 0.307 0.319 S
0.903 0.688 0.312 S
```

# 2
Density functional theory data (PBE) for an optimized crystal structure of SmSnSe4.

Results
Formation energy (no corrections) ... -4.603 eV/f.u.
Crystal system ... orthorhombic

```
SmSnSe4
1.0
4.847 -3.926 0.000
4.847 3.926 0.000
0.000 0.000 9.677
Sm Sn Se
2 2 8
Direct
0.116 0.884 0.750 Sm
0.884 0.116 0.250 Sm
0.411 0.589 0.250 Sn
0.589 0.411 0.750 Sn
0.179 0.821 0.058 Se
0.179 0.821 0.442 Se
0.186 0.390 0.750 Se
0.390 0.186 0.250 Se
0.610 0.814 0.750 Se
0.814 0.610 0.250 Se
0.821 0.179 0.558 Se
0.821 0.179 0.942 Se
```

# 3
Density functional theory data (PBE) for an optimized crystal structure of AcNp2Al9.

Results
Electronic total energy ... -65.79 eV per cell
Crystal system ... trigonal

```
AcNp2Al9
1.0
2.809 1.622 8.852
-2.809 1.622 8.852
0.000 -3.243 8.852
Ac Np Al
1 2 9
Direct
0.000 0.000 0.000 Ac
0.144 0.144 0.144 Np
0.856 0.856 0.856 Np
0.077 0.589 0.589 Al
0.335 0.335 0.335 Al
0.411 0.411 0.923 Al
0.411 0.923 0.411 Al
0.500 0.500 0.500 Al
0.589 0.077 0.589 Al
0.589 0.589 0.077 Al
0.665 0.665 0.665 Al
0.923 0.411 0.411 Al
```

# 4
Density functional theory data (PBE) for an optimized crystal structure of KTi2NiMo.

Results
Electronic total energy ... -28.88 eV per cell
Crystal system ... tetragonal

```
KTi2NiMo
1.0
4.798 0.000 0.000
0.000 4.798 0.000
0.000 0.000 4.893
K Ti Ni Mo
1 2 1 1
Direct
0.000 0.000 0.000 K
0.000 0.500 0.500 Ti
0.500 0.000 0.500 Ti
0.500 0.500 0.000 Ni
0.500 0.500 0.500 Mo
```

# 5
Density functional theory data (PBE) for an optimized crystal structure of Tb3NdEr2Te6.

Results
Formation energy (no corrections) ... -15.559 eV/f.u.
Crystal system ... monoclinic

```
Tb3NdEr2Te6
1.0
9.511 -2.172 0.000
9.511 2.172 0.000
-1.883 0.000 8.611
Tb Nd Er Te
3 1 2 6
Direct
0.000 0.000 0.000 Tb
0.340 0.340 0.665 Tb
0.660 0.660 0.335 Tb
0.000 0.000 0.500 Nd
0.336 0.336 0.169 Er
0.664 0.664 0.831 Er
0.169 0.169 0.083 Te
0.172 0.172 0.591 Te
0.497 0.497 0.241 Te
0.503 0.503 0.759 Te
0.828 0.828 0.409 Te
0.831 0.831 0.917 Te
```

# 6
Density functional theory data (PBE) for an optimized crystal structure of YFeB.

Results
Distance to the lowest polymorph of the same formula ... 348 meV/atom
Crystal system ... orthorhombic

```
YFeB
1.0
0.000 4.836 5.299
3.309 0.000 5.299
3.309 4.836 0.000
Y Fe B
4 4 4
Direct
0.000 0.000 0.000 Y
0.000 0.000 0.500 Y
0.000 0.500 0.000 Y
0.500 0.000 0.000 Y
0.247 0.247 0.503 Fe
0.497 0.497 0.753 Fe
0.503 0.503 0.247 Fe
0.753 0.753 0.497 Fe
0.218 0.532 0.218 B
0.468 0.782 0.468 B
0.532 0.218 0.532 B
0.782 0.468 0.782 B
```